Record 1
Cd3RhPb | GGA-PBE | relaxed

Properties
The calculation puts the formation energy at 203 meV/atom. Its total energy is -12.8 eV per cell. As for the polymorph energy (0 for the lowest one): 259 meV/atom. The value obtained for the total magnetization is 0.000 μB per atom.

abc: 5.1592 5.1592 5.1592
angles: 90.00 90.00 90.00
Fractional coordinates of all 5 atoms:
Cd: 0.0000 0.0000 0.5000
Cd: 0.0000 0.5000 0.0000
Cd: 0.5000 0.0000 0.0000
Rh: 0.0000 0.0000 0.0000
Pb: 0.5000 0.5000 0.5000

---

Record 2
SbAu | GGA-PBE | relaxed

Properties
Its total energy is -7.3 eV per cell. The value obtained for the total magnetization is 0.000 μB per atom.

abc: 4.2010 4.2010 3.2914
angles: 90.00 90.00 120.00
Fractional coordinates of all 2 atoms:
Sb: 0.0000 0.0000 0.0000
Au: 0.3333 0.6667 0.5000

---

Record 3
Cd2WSe | GGA-PBE | relaxed

Properties
Its total energy is -15.0 eV per cell. The value obtained for the total magnetization is 0.208 μB per atom.

abc: 4.8725 4.8725 3.3587
angles: 90.00 90.00 90.00
Fractional coordinates of all 4 atoms:
Cd: 0.0000 0.5000 0.0000
Cd: 0.5000 0.0000 0.0000
W: 0.0000 0.0000 0.5000
Se: 0.5000 0.5000 0.5000

---

Record 4
KFeOs2 | GGA-PBE | relaxed

Properties
The calculation puts the formation energy at 1716 meV/atom. Its total energy is -25.2 eV per cell. As for the polymorph energy (0 for the lowest one): 956 meV/atom. The value obtained for the total magnetization is 0.861 μB per atom.

abc: 3.7836 3.7836 4.7735
angles: 90.00 90.00 90.00
Fractional coordinates of all 4 atoms:
K: 0.0000 0.0000 0.0000
Fe: 0.5000 0.5000 0.0000
Os: 0.0000 0.5000 0.5000
Os: 0.5000 0.0000 0.5000

---

Record 5
PmMg2Si | GGA-PBE | relaxed

Properties
Its total energy is -29.2 eV per cell. As for the polymorph energy (0 for the lowest one): 0 meV/atom. The value obtained for the total magnetization is 0.088 μB per atom.

abc: 4.1539 4.1539 10.9080
angles: 90.00 90.00 90.00
Fractional coordinates of all 8 atoms:
Pm: 0.2500 0.2500 0.2498
Pm: 0.7500 0.7500 0.7502
Mg: 0.2500 0.2500 0.5662
Mg: 0.2500 0.7500 0.0000
Mg: 0.7500 0.2500 0.0000
Mg: 0.7500 0.7500 0.4338
Si: 0.2500 0.2500 0.8283
Si: 0.7500 0.7500 0.1717

---

Record 6
Tb2AsPRh6 | GGA-PBE | relaxed

Properties
The calculation puts the formation energy at -703 meV/atom. Its total energy is -140.9 eV per cell. The value obtained for the total magnetization is 0.000 μB per atom.

abc: 5.8380 8.6093 7.2759
angles: 90.00 90.00 90.00
Fractional coordinates of all 20 atoms:
Tb: 0.2500 0.0219 0.2350
Tb: 0.2500 0.4781 0.2350
Tb: 0.7500 0.5219 0.7650
Tb: 0.7500 0.9781 0.7650
As: 0.2500 0.7500 0.7856
As: 0.7500 0.2500 0.2144
P: 0.2500 0.2500 0.7291
P: 0.7500 0.7500 0.2709
Rh: 0.0177 0.7500 0.0583
Rh: 0.0180 0.7500 0.4901
Rh: 0.2500 0.5010 0.6352
Rh: 0.2500 0.9990 0.6352
Rh: 0.4823 0.7500 0.0583
Rh: 0.4820 0.7500 0.4901
Rh: 0.5180 0.2500 0.5099
Rh: 0.5177 0.2500 0.9417
Rh: 0.7500 0.0010 0.3648
Rh: 0.7500 0.4990 0.3648
Rh: 0.9820 0.2500 0.5099
Rh: 0.9823 0.2500 0.9417

---

Copy entry 6 word for word.
Tb2AsPRh6 | GGA-PBE | relaxed

Properties
The calculation puts the formation energy at -703 meV/atom. Its total energy is -140.9 eV per cell. The value obtained for the total magnetization is 0.000 μB per atom.

abc: 5.8380 8.6093 7.2759
angles: 90.00 90.00 90.00
Fractional coordinates of all 20 atoms:
Tb: 0.2500 0.0219 0.2350
Tb: 0.2500 0.4781 0.2350
Tb: 0.7500 0.5219 0.7650
Tb: 0.7500 0.9781 0.7650
As: 0.2500 0.7500 0.7856
As: 0.7500 0.2500 0.2144
P: 0.2500 0.2500 0.7291
P: 0.7500 0.7500 0.2709
Rh: 0.0177 0.7500 0.0583
Rh: 0.0180 0.7500 0.4901
Rh: 0.2500 0.5010 0.6352
Rh: 0.2500 0.9990 0.6352
Rh: 0.4823 0.7500 0.0583
Rh: 0.4820 0.7500 0.4901
Rh: 0.5180 0.2500 0.5099
Rh: 0.5177 0.2500 0.9417
Rh: 0.7500 0.0010 0.3648
Rh: 0.7500 0.4990 0.3648
Rh: 0.9820 0.2500 0.5099
Rh: 0.9823 0.2500 0.9417

---

Question: Which formula does entry 6 have?
Answer: Tb2AsPRh6